Record 1
Zr2ScRhO (GGA-PBE, relaxed); volume = 16.888 Å³ per atom; energy relative to the elements, uncorrected = -1.324 eV/atom; total magnetization = 0.00 μB per cell
1.0
4.456 0.000 0.000
0.000 4.456 0.000
0.000 0.000 4.253
Zr Sc Rh O
2 1 1 1
Cartesian
0.000 2.228 0.000
2.228 0.000 0.000
0.000 0.000 2.126
2.228 2.228 2.126
0.000 0.000 0.000

Record 2
Ca2NdReN4 (GGA-PBE, relaxed); volume = 15.587 Å³ per atom; energy relative to the elements, uncorrected = -0.717 eV/atom; total magnetization = 0.00 μB per cell
1.0
1.719 -5.959 0.000
1.719 5.959 0.000
0.000 0.000 12.174
Ca Nd Re N
4 2 2 8
Cartesian
1.719 4.463 6.507
1.719 4.463 11.754
1.719 -4.463 0.420
1.719 -4.463 5.667
1.719 0.924 9.130
1.719 -0.924 3.043
1.719 2.123 3.043
1.719 -2.123 9.130
1.719 4.967 9.130
1.719 3.202 1.588
1.719 3.202 4.499
1.719 0.000 0.000
1.719 0.000 6.087
1.719 -3.202 7.675
1.719 -3.202 10.586
1.719 -4.967 3.043

Record 3
Pu4PCl4 (GGA-PBE, relaxed); volume = 28.631 Å³ per atom; energy relative to the elements, uncorrected = -1.071 eV/atom; total magnetization = 24.90 μB per cell
1.0
-3.458 3.458 5.387
3.458 -3.458 5.387
3.458 3.458 -5.387
Pu P Cl
4 1 4
Cartesian
2.007 -2.007 3.750
1.451 1.451 1.637
-2.007 2.007 3.750
2.007 2.007 7.024
0.000 0.000 0.000
3.458 0.000 0.000
0.000 0.000 3.631
0.000 3.458 0.000
0.000 0.000 7.143

Please write out number 3 again, unchanged.
Pu4PCl4 (GGA-PBE, relaxed); volume = 28.631 Å³ per atom; energy relative to the elements, uncorrected = -1.071 eV/atom; total magnetization = 24.90 μB per cell
1.0
-3.458 3.458 5.387
3.458 -3.458 5.387
3.458 3.458 -5.387
Pu P Cl
4 1 4
Cartesian
2.007 -2.007 3.750
1.451 1.451 1.637
-2.007 2.007 3.750
2.007 2.007 7.024
0.000 0.000 0.000
3.458 0.000 0.000
0.000 0.000 3.631
0.000 3.458 0.000
0.000 0.000 7.143

- volume of number 3 (Pu4PCl4)?
  28.631 Å³ per atom

- The lowest volume belongs to which entry?
  Ca2NdReN4